The following is a GGA-PBE calculation of an optimized crystal structure of BaEu3Ir, from Alexandria.

density = 6.70 g/cm3
magnetization = 21.52 μB/f.u.
formation enthalpy at 0 K = -212 meV/atom

Cell: 5.7968 5.7968 5.7968 Å, 90.00 90.00 90.00°
Closest atoms and distances in Å follow each position.
Space group Pm-3m (No. 221)
Asymmetric unit:
Ba1 0.0000 0.0000 0.0000 x1  12 Eu 4.10
Eu1 0.0000 0.5000 0.5000 x3  2 Ir 2.90
Ir1 0.5000 0.5000 0.5000 x1  6 Eu 2.90